1.
The following is a DFT calculation (GGA-PBE) of a relaxed TbDy2ErTe5 crystal.

```
data_TbDy2ErTe5
_chemical_formula_sum 'Tb1 Dy2 Er1 Te5'
_symmetry_space_group_name_H-M 'P 4/m m m'
_symmetry_Int_Tables_number 123
_symmetry_space_group_name_Hall '-P 4 2'
_cell_length_a 5.566
_cell_length_b 5.566
_cell_length_c 11.492
_cell_angle_alpha 90.00
_cell_angle_beta 90.00
_cell_angle_gamma 90.00
loop_
_atom_site_label
_atom_site_fract_x
_atom_site_fract_y
_atom_site_fract_z
Tb1 0.000 0.000 0.000
Dy1 0.500 0.500 0.151
Er1 0.000 0.000 0.500
Te1 0.000 0.000 0.255
Te2 0.000 0.500 0.000
Te3 0.500 0.500 0.500
```

Results
N(E_F) = 0.438 states/eV per atom
ΔE_f (raw) = -0.622 eV per atom

***

2.
The following is a DFT calculation (GGA-PBE) of a relaxed Tb2DyErTe5 crystal.

```
data_Tb2DyErTe5
_chemical_formula_sum 'Tb2 Dy1 Er1 Te5'
_symmetry_space_group_name_H-M 'P 4/m m m'
_symmetry_Int_Tables_number 123
_symmetry_space_group_name_Hall '-P 4 2'
_cell_length_a 5.506
_cell_length_b 5.506
_cell_length_c 11.515
_cell_angle_alpha 90.00
_cell_angle_beta 90.00
_cell_angle_gamma 90.00
loop_
_atom_site_label
_atom_site_fract_x
_atom_site_fract_y
_atom_site_fract_z
Tb1 0.000 0.000 0.152
Dy1 0.500 0.500 0.500
Er1 0.500 0.500 0.000
Te1 0.000 0.000 0.500
Te2 0.000 0.500 0.000
Te3 0.500 0.500 0.253
```

Results
N(E_F) = 0.491 states/eV per atom
ΔE_f (raw) = -0.681 eV per atom

***

3.
The following is a DFT calculation (GGA-PBE) of a relaxed TbDy2ErTe6 crystal.

```
data_TbDy2ErTe6
_chemical_formula_sum 'Tb3 Dy6 Er3 Te18'
_symmetry_space_group_name_H-M 'R 3'
_symmetry_Int_Tables_number 146
_symmetry_space_group_name_Hall 'R 3'
_cell_length_a 7.6822
_cell_length_b 7.6822
_cell_length_c 21.0567
_cell_angle_alpha 90.00
_cell_angle_beta 90.00
_cell_angle_gamma 120.00
loop_
_atom_site_label
_atom_site_fract_x
_atom_site_fract_y
_atom_site_fract_z
Tb1 0.0000 0.0000 0.0000
Dy1 0.0000 0.0000 0.1857
Dy2 0.0000 0.0000 0.6862
Er1 0.0000 0.0000 0.5007
Te1 0.0025 0.3167 0.0933
Te2 0.0212 0.6674 0.2593
```

Results
ΔE_f (raw) = -1.359 eV per atom

***

4.
The following is a DFT calculation (GGA-PBE) of a relaxed TbDy3Er3Te8 crystal.

```
data_TbDy3Er3Te8
_chemical_formula_sum 'Tb3 Dy9 Er9 Te24'
_symmetry_space_group_name_H-M 'R -3 m'
_symmetry_Int_Tables_number 166
_symmetry_space_group_name_Hall '-R 3 2"'
_cell_length_a 8.6419
_cell_length_b 8.6419
_cell_length_c 21.1591
_cell_angle_alpha 90.00
_cell_angle_beta 90.00
_cell_angle_gamma 120.00
loop_
_atom_site_label
_atom_site_fract_x
_atom_site_fract_y
_atom_site_fract_z
Tb1 0.0000 0.0000 0.0000
Dy1 0.0000 0.5000 0.5000
Er1 0.0000 0.5000 0.0000
Te1 0.0000 0.0000 0.2510
Te2 0.0108 0.5054 0.2482
```

Results
N(E_F) = 0.443 states/eV per atom
ΔE_f (raw) = -1.342 eV per atom

***

5.
The following is a DFT calculation (GGA-PBE) of a relaxed Tb2Dy5ErTh crystal.

```
data_Tb2Dy5ErTh
_chemical_formula_sum 'Tb8 Dy20 Er4 Th4'
_symmetry_space_group_name_H-M 'C m c 21'
_symmetry_Int_Tables_number 36
_symmetry_space_group_name_Hall 'C 2c -2'
_cell_length_a 5.687
_cell_length_b 21.504
_cell_length_c 9.678
_cell_angle_alpha 90.00
_cell_angle_beta 90.00
_cell_angle_gamma 90.00
loop_
_atom_site_label
_atom_site_fract_x
_atom_site_fract_y
_atom_site_fract_z
Tb1 0.000 0.115 0.000
Tb2 0.000 0.130 0.383
Dy1 0.000 0.015 0.689
Dy2 0.000 0.271 0.998
Dy3 0.000 0.305 0.390
Dy4 0.000 0.398 0.714
Dy5 0.000 0.469 0.415
Er1 0.000 0.190 0.689
Th1 0.000 0.404 0.096
```

Results
N(E_F) = 1.413 states/eV per atom
formation energy from the elements = 162 meV/atom

***

6.
The following is a DFT calculation (GGA-PBE) of a relaxed Tb2Dy6Er3Th crystal.

```
data_Tb2Dy6Er3Th
_chemical_formula_sum 'Tb4 Dy12 Er6 Th2'
_symmetry_space_group_name_H-M 'C 1 2/m 1'
_symmetry_Int_Tables_number 12
_symmetry_space_group_name_Hall '-C 2y'
_cell_length_a 6.137
_cell_length_b 10.620
_cell_length_c 11.741
_cell_angle_alpha 90.00
_cell_angle_beta 100.02
_cell_angle_gamma 90.00
loop_
_atom_site_label
_atom_site_fract_x
_atom_site_fract_y
_atom_site_fract_z
Tb1 0.000 0.167 0.000
Dy1 0.246 0.500 0.749
Dy2 0.249 0.335 0.251
Er1 0.000 0.000 0.500
Er2 0.000 0.333 0.500
Th1 0.000 0.500 0.000
```

Results
N(E_F) = 1.309 states/eV per atom
formation energy from the elements = 26 meV/atom

***

7.
The following is a DFT calculation (GGA-PBE) of a relaxed TbDy6ErTh2 crystal.

```
data_TbDy6ErTh2
_chemical_formula_sum 'Tb4 Dy24 Er4 Th8'
_symmetry_space_group_name_H-M 'C 1 2/c 1'
_symmetry_Int_Tables_number 15
_symmetry_space_group_name_Hall '-C 2yc'
_cell_length_a 8.908
_cell_length_b 14.719
_cell_length_c 10.046
_cell_angle_alpha 90.00
_cell_angle_beta 102.13
_cell_angle_gamma 90.00
loop_
_atom_site_label
_atom_site_fract_x
_atom_site_fract_y
_atom_site_fract_z
Tb1 0.000 0.010 0.250
Dy1 0.075 0.188 0.949
Dy2 0.092 0.399 0.117
Dy3 0.203 0.225 0.322
Er1 0.000 0.403 0.750
Th1 0.228 0.046 0.543
```

Results
N(E_F) = 1.407 states/eV per atom
formation energy from the elements = 147 meV/atom

***

8.
The following is a DFT calculation (GGA-PBE) of a relaxed Tb6DyEr3Th2 crystal.

```
data_Tb6DyEr3Th2
_chemical_formula_sum 'Tb12 Dy2 Er6 Th4'
_symmetry_space_group_name_H-M 'C 1 2/m 1'
_symmetry_Int_Tables_number 12
_symmetry_space_group_name_Hall '-C 2y'
_cell_length_a 6.155
_cell_length_b 10.648
_cell_length_c 11.775
_cell_angle_alpha 90.00
_cell_angle_beta 100.03
_cell_angle_gamma 90.00
loop_
_atom_site_label
_atom_site_fract_x
_atom_site_fract_y
_atom_site_fract_z
Tb1 0.247 0.000 0.249
Tb2 0.248 0.168 0.751
Dy1 0.000 0.500 0.000
Er1 0.000 0.000 0.500
Er2 0.000 0.334 0.500
Th1 0.000 0.167 0.000
```

Results
N(E_F) = 1.402 states/eV per atom
formation energy from the elements = 28 meV/atom